Material: V2Ir4Os3
Method: DFT, PBE
State: relaxed

energy of formation: -0.228 eV per atom
M_tot: 0.0 μB/cell

abc: 4.7435 7.0211 8.4437
angles: 71.73 73.62 89.84
Last column: nearest neighbours and their distance in Å.
Fractional coordinates of all 18 atoms:
Ir1 0.2788 0.5206 0.2807  5 Os 2.65-2.78, 3 V 2.65-2.72, 4 Ir 2.69-2.77
Os1 0.9388 0.0323 0.2761  4 V 2.64-2.75, 6 Ir 2.68-2.80, 2 Os 2.72
Os2 0.3895 0.3105 0.0533  2 Os 2.64-2.72, 6 Ir 2.69-2.77, 4 V 2.70-2.77
Os3 0.2822 0.3600 0.6091  8 Ir 2.65-2.78, 2 Os 2.67-2.72, 2 V 2.71-2.74
V1 0.6234 0.8638 0.6075  5 Ir 2.65-2.76, 5 Os 2.65-2.75, 2 V 2.71-2.74
Ir2 0.5009 0.9195 0.1671  6 Ir 2.68-2.77, 5 Os 2.69-2.77, 1 V 2.73
Ir3 0.0560 0.7963 0.0567  2 V 2.65-2.72, 5 Os 2.68-2.80, 5 Ir 2.69-2.82
V2 0.3766 0.1362 0.3925  5 Ir 2.65-2.76, 5 Os 2.65-2.75, 2 V 2.71-2.74
Os4 0.0612 0.9677 0.7239  4 V 2.64-2.75, 6 Ir 2.68-2.80, 2 Os 2.72
Ir4 0.1703 0.7521 0.4993  4 V 2.65-2.76, 3 Ir 2.68-2.77, 5 Os 2.70-2.76
V3 0.1652 0.5852 0.8284  5 Os 2.64-2.77, 5 Ir 2.65-2.72, 2 V 2.74-2.75
Ir5 0.4991 0.0805 0.8329  6 Ir 2.68-2.77, 5 Os 2.69-2.77, 1 V 2.73
Os5 0.7178 0.6400 0.3909  8 Ir 2.65-2.78, 2 Os 2.67-2.72, 2 V 2.71-2.74
Ir6 0.7212 0.4794 0.7193  5 Os 2.65-2.78, 3 V 2.65-2.72, 4 Ir 2.69-2.77
V4 0.8348 0.4148 0.1716  5 Os 2.64-2.77, 5 Ir 2.65-2.72, 2 V 2.74-2.75
Os6 0.6105 0.6895 0.9467  2 Os 2.64-2.72, 6 Ir 2.69-2.77, 4 V 2.70-2.77
Ir7 0.8297 0.2479 0.5007  4 V 2.65-2.76, 3 Ir 2.68-2.77, 5 Os 2.70-2.76
Ir8 0.9440 0.2037 0.9433  2 V 2.65-2.72, 5 Os 2.68-2.80, 5 Ir 2.69-2.82


Material: PuScInOs
Method: DFT, PBE
State: relaxed

energy of formation: -0.060 eV per atom
M_tot: 5.0 μB/cell
relative energy among the computed polymorphs: 0.97 eV/f.u.

abc: 4.9131 4.9131 4.9131
angles: 60.00 60.00 60.00
Last column: nearest neighbours and their distance in Å.
Fractional coordinates of all 4 atoms:
Pu1 0.0000 0.0000 0.0000  4 In 3.01, 4 Os 3.01
Sc1 0.5000 0.5000 0.5000  4 In 3.01, 4 Os 3.01
In1 0.2500 0.2500 0.2500  4 Sc 3.01, 4 Pu 3.01
Os1 0.7500 0.7500 0.7500  4 Sc 3.01, 4 Pu 3.01


Material: LaInSi2
Method: DFT, PBE
State: relaxed

energy relative to the elements, uncorrected: 81 kJ/mol of formula units
M_tot: 0.0 μB/cell

abc: 9.3396 9.3396 9.3396
angles: 21.32 21.32 21.32
Last column: nearest neighbours and their distance in Å.
Fractional coordinates of all 4 atoms:
In1 0.2500 0.2500 0.2500  6 Si 2.87
Si1 0.5081 0.5081 0.5081  3 In 2.87, 3 La 3.20
Si2 0.9919 0.9919 0.9919  3 In 2.87, 3 La 3.20
La1 0.7500 0.7500 0.7500  6 Si 3.20, 6 La 3.45